No. 1
Here is a relaxed Ho3Ge5N12 crystal from Alexandria. Energies are from PBE.

Unit cell a=10.8191 b=10.8191 c=10.8191 alpha=109.47 beta=109.47 gamma=109.47
With the nearest neighbours (Å) after each atom.
Fractional coordinates of all 80 atoms:
1 Ho 0.7500 0.3750 0.1250  8 N 2.43-2.47
2 Ho 0.8750 0.7500 0.1250  8 N 2.43-2.47
3 Ho 0.3750 0.7500 0.6250  8 N 2.43-2.47
4 Ho 0.2500 0.1250 0.3750  8 N 2.43-2.47
5 Ho 0.8750 0.1250 0.2500  8 N 2.43-2.47
6 Ho 0.3750 0.6250 0.2500  8 N 2.43-2.47
7 Ho 0.6250 0.3750 0.7500  8 N 2.43-2.47
8 Ho 0.1250 0.8750 0.7500  8 N 2.43-2.47
9 Ho 0.7500 0.8750 0.6250  8 N 2.43-2.47
10 Ho 0.6250 0.2500 0.3750  8 N 2.43-2.47
11 Ho 0.1250 0.2500 0.8750  8 N 2.43-2.47
12 Ho 0.2500 0.6250 0.8750  8 N 2.43-2.47
13 Ge 0.1250 0.3750 0.2500  4 N 1.86
14 Ge 0.0000 0.5000 0.0000  6 N 2.02
15 Ge 0.0000 0.0000 0.0000  6 N 2.02
16 Ge 0.3750 0.2500 0.1250  4 N 1.86
17 Ge 0.5000 0.0000 0.5000  6 N 2.02
18 Ge 0.5000 0.5000 0.0000  6 N 2.02
19 Ge 0.1250 0.7500 0.3750  4 N 1.86
20 Ge 0.7500 0.1250 0.8750  4 N 1.86
21 Ge 0.7500 0.6250 0.3750  4 N 1.86
22 Ge 0.3750 0.1250 0.7500  4 N 1.86
23 Ge 0.6250 0.8750 0.2500  4 N 1.86
24 Ge 0.5000 0.5000 0.5000  6 N 2.02
25 Ge 0.5000 0.0000 0.0000  6 N 2.02
26 Ge 0.0000 0.0000 0.5000  6 N 2.02
27 Ge 0.2500 0.3750 0.6250  4 N 1.86
28 Ge 0.2500 0.8750 0.1250  4 N 1.86
29 Ge 0.0000 0.5000 0.5000  6 N 2.02
30 Ge 0.8750 0.2500 0.6250  4 N 1.86
31 Ge 0.6250 0.7500 0.8750  4 N 1.86
32 Ge 0.8750 0.6250 0.7500  4 N 1.86
33 N 0.7045 0.1174 0.0250  2 Ge 1.86-2.02
34 N 0.3205 0.5250 0.4076  2 Ge 1.86-2.02
35 N 0.9750 0.3826 0.2955  2 Ge 1.86-2.02
36 N 0.5250 0.2045 0.1174  2 Ge 1.86-2.02
37 N 0.5870 0.7045 0.6795  2 Ge 1.86-2.02
38 N 0.9750 0.5924 0.1795  2 Ge 1.86-2.02
39 N 0.3205 0.7955 0.4130  2 Ge 1.86-2.02
40 N 0.0924 0.9130 0.1174  2 Ge 1.86-2.02
41 N 0.5924 0.9750 0.6795  2 Ge 1.86-2.02
42 N 0.7045 0.5870 0.1795  2 Ge 1.86-2.02
43 N 0.7955 0.4750 0.3826  2 Ge 1.86-2.02
44 N 0.8205 0.9076 0.0250  2 Ge 1.86-2.02
45 N 0.1174 0.7045 0.5250  2 Ge 1.86-2.02
46 N 0.3826 0.4076 0.0870  2 Ge 1.86-2.02
47 N 0.0870 0.9076 0.3826  2 Ge 1.86-2.02
48 N 0.4130 0.1174 0.5924  2 Ge 1.86-2.02
49 N 0.0870 0.1795 0.2045  2 Ge 1.86-2.02
50 N 0.4750 0.6795 0.0924  2 Ge 1.86-2.02
51 N 0.8205 0.9130 0.2955  2 Ge 1.86-2.02
52 N 0.1174 0.4130 0.0924  2 Ge 1.86-2.02
53 N 0.3826 0.9750 0.7955  2 Ge 1.86-2.02
54 N 0.5924 0.6174 0.4130  2 Ge 1.86-2.02
55 N 0.9076 0.8205 0.5250  2 Ge 1.86-2.02
56 N 0.7955 0.3205 0.9130  2 Ge 1.86-2.02
57 N 0.4076 0.3826 0.5870  2 Ge 1.86-2.02
58 N 0.0924 0.1795 0.4750  2 Ge 1.86-2.02
59 N 0.2045 0.6795 0.0870  2 Ge 1.86-2.02
60 N 0.1795 0.0870 0.7045  2 Ge 1.86-2.02
61 N 0.6174 0.0250 0.2045  2 Ge 1.86-2.02
62 N 0.8826 0.5870 0.9076  2 Ge 1.86-2.02
63 N 0.5250 0.3205 0.9076  2 Ge 1.86-2.02
64 N 0.5870 0.8826 0.4076  2 Ge 1.86-2.02
65 N 0.9130 0.8205 0.7955  2 Ge 1.86-2.02
66 N 0.9130 0.0924 0.6174  2 Ge 1.86-2.02
67 N 0.8826 0.2955 0.4750  2 Ge 1.86-2.02
68 N 0.1795 0.0924 0.9750  2 Ge 1.86-2.02
69 N 0.6174 0.5924 0.9130  2 Ge 1.86-2.02
70 N 0.4076 0.0250 0.3205  2 Ge 1.86-2.02
71 N 0.2955 0.4130 0.8205  2 Ge 1.86-2.02
72 N 0.2045 0.5250 0.6174  2 Ge 1.86-2.02
73 N 0.9076 0.0870 0.8826  2 Ge 1.86-2.02
74 N 0.6795 0.2045 0.5870  2 Ge 1.86-2.02
75 N 0.4750 0.7955 0.8826  2 Ge 1.86-2.02
76 N 0.0250 0.4076 0.8205  2 Ge 1.86-2.02
77 N 0.4130 0.2955 0.3205  2 Ge 1.86-2.02
78 N 0.0250 0.6174 0.7045  2 Ge 1.86-2.02
79 N 0.6795 0.4750 0.5924  2 Ge 1.86-2.02
80 N 0.2955 0.8826 0.9750  2 Ge 1.86-2.02

=====

No. 2
Here is a relaxed Ho4Ge2N crystal from Alexandria. Energies are from PBE.

Unit cell a=3.7116 b=5.7536 c=7.4853 alpha=101.59 beta=104.35 gamma=90.00
With the nearest neighbours (Å) after each atom.
Fractional coordinates of all 7 atoms:
1 Ho 0.8637 0.1639 0.7274  1 N 2.36
2 Ho 0.1363 0.8361 0.2726  1 N 2.36
3 Ho 0.5699 0.2703 0.1399  2 N 2.50
4 Ho 0.4301 0.7297 0.8601  2 N 2.50
5 Ge 0.7655 0.6537 0.5309  2 Ge 2.54
6 Ge 0.2345 0.3463 0.4691  2 Ge 2.54
7 N 0.0000 0.0000 0.0000  6 Ho 2.36-2.50

Properties
Energy relative to the lowest polymorph listed for this composition = 100 meV/atom

=====

No. 3
Here is a relaxed Ho2GeN crystal from Alexandria. Energies are from PBE.

Unit cell a=3.5147 b=3.5147 c=7.3548 alpha=76.18 beta=76.18 gamma=60.00
With the nearest neighbours (Å) after each atom.
Fractional coordinates of all 4 atoms:
1 Ge 0.0000 0.0000 0.0000  6 Ho 2.99
2 Ho 0.2298 0.2298 0.3105  3 N 2.43
3 Ho 0.7702 0.7702 0.6895  3 N 2.43
4 N 0.5000 0.5000 0.5000  6 Ho 2.43

=====

No. 4
Here is a relaxed Ho4Ge2N crystal from Alexandria. Energies are from PBE.

Unit cell a=4.5684 b=4.5684 c=8.2483 alpha=73.92 beta=73.92 gamma=90.00
With the nearest neighbours (Å) after each atom.
Fractional coordinates of all 7 atoms:
1 Ge 0.3618 0.3618 0.2764  9 Ho 2.93-3.26
2 Ge 0.6382 0.6382 0.7236  9 Ho 2.93-3.26
3 Ho 0.1687 0.1687 0.6627  1 N 2.56
4 Ho 0.8313 0.8313 0.3373  1 N 2.56
5 Ho 0.0000 0.5000 0.0000  2 N 2.28
6 Ho 0.5000 0.0000 0.0000  2 N 2.28
7 N 0.0000 0.0000 0.0000  4 Ho 2.28

Properties
Energy relative to the lowest polymorph listed for this composition = 0 meV/atom

=====

No. 5
Here is a relaxed HoGeN crystal from Alexandria. Energies are from PBE.

Unit cell a=3.9739 b=4.9328 c=6.7131 alpha=82.03 beta=53.71 gamma=90.00
With the nearest neighbours (Å) after each atom.
Fractional coordinates of all 6 atoms:
1 Ho 0.3827 0.7781 0.3672  4 N 2.31-2.51
2 Ho 0.6173 0.2219 0.6328  4 N 2.31-2.51
3 Ge 0.2949 0.6672 0.9550  1 N 1.96
4 Ge 0.7051 0.3328 0.0450  1 N 1.96
5 N 0.6631 0.7378 0.5868  1 Ge 1.96
6 N 0.3369 0.2622 0.4132  1 Ge 1.96

Properties
Energy relative to the lowest polymorph listed for this composition = 0 meV/atom

=====

No. 6
Here is a relaxed HoGeN crystal from Alexandria. Energies are from PBE.

Unit cell a=3.3710 b=4.8113 c=7.0132 alpha=58.00 beta=90.00 gamma=90.00
With the nearest neighbours (Å) after each atom.
Fractional coordinates of all 6 atoms:
1 Ho 0.7500 0.6120 0.6787  4 N 2.38-2.45
2 Ho 0.2500 0.3880 0.3213  4 N 2.38-2.45
3 Ge 0.7500 0.0103 0.1632  2 N 2.18
4 Ge 0.2500 0.9897 0.8368  2 N 2.18
5 N 0.7500 0.1673 0.6046  2 Ge 2.18, 3 Ho 2.38-2.44
6 N 0.2500 0.8327 0.3954  2 Ge 2.18, 3 Ho 2.38-2.44

Properties
Energy relative to the lowest polymorph listed for this composition = 188 meV/atom

=====

No. 7
Here is a relaxed Ho12Ge3N5 crystal from Alexandria. Energies are from PBE.

Unit cell a=13.1413 b=13.1413 c=13.1413 alpha=109.47 beta=109.47 gamma=109.47
With the nearest neighbours (Å) after each atom.
Fractional coordinates of all 80 atoms:
1 Ge 0.7500 0.3750 0.1250  8 Ho 2.97-3.05
2 Ge 0.8750 0.7500 0.1250  8 Ho 2.97-3.05
3 Ge 0.3750 0.7500 0.6250  8 Ho 2.97-3.05
4 Ge 0.2500 0.1250 0.3750  8 Ho 2.97-3.05
5 Ge 0.8750 0.1250 0.2500  8 Ho 2.97-3.05
6 Ge 0.3750 0.6250 0.2500  8 Ho 2.97-3.05
7 Ge 0.6250 0.3750 0.7500  8 Ho 2.97-3.05
8 Ge 0.1250 0.8750 0.7500  8 Ho 2.97-3.05
9 Ge 0.7500 0.8750 0.6250  8 Ho 2.97-3.05
10 Ge 0.6250 0.2500 0.3750  8 Ho 2.97-3.05
11 Ge 0.1250 0.2500 0.8750  8 Ho 2.97-3.05
12 Ge 0.2500 0.6250 0.8750  8 Ho 2.97-3.05
13 Ho 0.7028 0.1155 0.0192  2 N 2.21-2.46
14 Ho 0.3164 0.5192 0.4036  2 N 2.21-2.46
15 Ho 0.9808 0.3845 0.2972  2 N 2.21-2.46
16 Ho 0.5192 0.2028 0.1155  2 N 2.21-2.46
17 Ho 0.5872 0.7028 0.6836  2 N 2.21-2.46
18 Ho 0.9808 0.5964 0.1836  2 N 2.21-2.46
19 Ho 0.3164 0.7972 0.4128  2 N 2.21-2.46
20 Ho 0.0964 0.9128 0.1155  2 N 2.21-2.46
21 Ho 0.5964 0.9808 0.6836  2 N 2.21-2.46
22 Ho 0.7028 0.5872 0.1836  2 N 2.21-2.46
23 Ho 0.7972 0.4808 0.3845  2 N 2.21-2.46
24 Ho 0.8164 0.9036 0.0192  2 N 2.21-2.46
25 Ho 0.1155 0.7028 0.5192  2 N 2.21-2.46
26 Ho 0.3845 0.4036 0.0872  2 N 2.21-2.46
27 Ho 0.0872 0.9036 0.3845  2 N 2.21-2.46
28 Ho 0.4128 0.1155 0.5964  2 N 2.21-2.46
29 Ho 0.0872 0.1836 0.2028  2 N 2.21-2.46
30 Ho 0.4808 0.6836 0.0964  2 N 2.21-2.46
31 Ho 0.8164 0.9128 0.2972  2 N 2.21-2.46
32 Ho 0.1155 0.4128 0.0964  2 N 2.21-2.46
33 Ho 0.3845 0.9808 0.7972  2 N 2.21-2.46
34 Ho 0.5964 0.6155 0.4128  2 N 2.21-2.46
35 Ho 0.9036 0.8164 0.5192  2 N 2.21-2.46
36 Ho 0.7972 0.3164 0.9128  2 N 2.21-2.46
37 Ho 0.4036 0.3845 0.5872  2 N 2.21-2.46
38 Ho 0.0964 0.1836 0.4808  2 N 2.21-2.46
39 Ho 0.2028 0.6836 0.0872  2 N 2.21-2.46
40 Ho 0.1836 0.0872 0.7028  2 N 2.21-2.46
41 Ho 0.6155 0.0192 0.2028  2 N 2.21-2.46
42 Ho 0.8845 0.5872 0.9036  2 N 2.21-2.46
43 Ho 0.5192 0.3164 0.9036  2 N 2.21-2.46
44 Ho 0.5872 0.8845 0.4036  2 N 2.21-2.46
45 Ho 0.9128 0.8164 0.7972  2 N 2.21-2.46
46 Ho 0.9128 0.0964 0.6155  2 N 2.21-2.46
47 Ho 0.8845 0.2972 0.4808  2 N 2.21-2.46
48 Ho 0.1836 0.0964 0.9808  2 N 2.21-2.46
49 Ho 0.6155 0.5964 0.9128  2 N 2.21-2.46
50 Ho 0.4036 0.0192 0.3164  2 N 2.21-2.46
51 Ho 0.2972 0.4128 0.8164  2 N 2.21-2.46
52 Ho 0.2028 0.5192 0.6155  2 N 2.21-2.46
53 Ho 0.9036 0.0872 0.8845  2 N 2.21-2.46
54 Ho 0.6836 0.2028 0.5872  2 N 2.21-2.46
55 Ho 0.4808 0.7972 0.8845  2 N 2.21-2.46
56 Ho 0.0192 0.4036 0.8164  2 N 2.21-2.46
57 Ho 0.4128 0.2972 0.3164  2 N 2.21-2.46
58 Ho 0.0192 0.6155 0.7028  2 N 2.21-2.46
59 Ho 0.6836 0.4808 0.5964  2 N 2.21-2.46
60 Ho 0.2972 0.8845 0.9808  2 N 2.21-2.46
61 N 0.1250 0.3750 0.2500  4 Ho 2.21
62 N 0.0000 0.5000 0.0000  6 Ho 2.46
63 N 0.0000 0.0000 0.0000  6 Ho 2.46
64 N 0.3750 0.2500 0.1250  4 Ho 2.21
65 N 0.5000 0.0000 0.5000  6 Ho 2.46
66 N 0.5000 0.5000 0.0000  6 Ho 2.46
67 N 0.1250 0.7500 0.3750  4 Ho 2.21
68 N 0.7500 0.1250 0.8750  4 Ho 2.21
69 N 0.7500 0.6250 0.3750  4 Ho 2.21
70 N 0.3750 0.1250 0.7500  4 Ho 2.21
71 N 0.6250 0.8750 0.2500  4 Ho 2.21
72 N 0.5000 0.5000 0.5000  6 Ho 2.46
73 N 0.5000 0.0000 0.0000  6 Ho 2.46
74 N 0.0000 0.0000 0.5000  6 Ho 2.46
75 N 0.2500 0.3750 0.6250  4 Ho 2.21
76 N 0.2500 0.8750 0.1250  4 Ho 2.21
77 N 0.0000 0.5000 0.5000  6 Ho 2.46
78 N 0.8750 0.2500 0.6250  4 Ho 2.21
79 N 0.6250 0.7500 0.8750  4 Ho 2.21
80 N 0.8750 0.6250 0.7500  4 Ho 2.21

=====

No. 8
Here is a relaxed HoGeN2 crystal from Alexandria. Energies are from PBE.

Unit cell a=3.5887 b=3.5887 c=6.2363 alpha=73.28 beta=73.28 gamma=60.00
With the nearest neighbours (Å) after each atom.
Fractional coordinates of all 4 atoms:
1 Ge 0.0000 0.0000 0.0000  2 N 1.78
2 Ho 0.5000 0.5000 0.5000  6 N 2.38
3 N 0.1009 0.1009 0.6974  1 Ge 1.78
4 N 0.8991 0.8991 0.3026  1 Ge 1.78

=====

No. 9
Here is a relaxed HoPa2GeN5 crystal from Alexandria. Energies are from PBE.

Unit cell a=3.3138 b=7.5546 c=9.8795 alpha=90.00 beta=90.00 gamma=102.67
With the nearest neighbours (Å) after each atom.
Fractional coordinates of all 18 atoms:
1 Ho 0.7921 0.5841 0.5078  5 N 2.25-2.41
2 Ho 0.2079 0.4159 0.0078  5 N 2.25-2.41
3 Pa 0.8715 0.7429 0.8089  6 N 2.35-2.57
4 Pa 0.1116 0.2232 0.6775  7 N 2.40-2.67
5 Pa 0.1285 0.2571 0.3089  6 N 2.35-2.57
6 Pa 0.8884 0.7768 0.1775  7 N 2.40-2.67
7 Ge 0.5436 0.0871 0.9509  4 N 1.87-1.98
8 Ge 0.4564 0.9129 0.4509  4 N 1.87-1.98
9 N 0.3609 0.7218 0.0073  1 Ho 2.25, 2 Pa 2.40
10 N 0.6617 0.3235 0.8555  1 Ge 1.98
11 N 0.4874 0.9748 0.7811  1 Ge 1.87
12 N 0.2958 0.5916 0.6842  2 Pa 2.35, 2 Ho 2.41
13 N 0.9618 0.9236 0.5507  2 Ge 1.93
14 N 0.6391 0.2782 0.5073  1 Ho 2.25, 2 Pa 2.40
15 N 0.3383 0.6765 0.3555  1 Ge 1.98
16 N 0.5126 0.0252 0.2811  1 Ge 1.87
17 N 0.7042 0.4084 0.1842  2 Pa 2.35, 2 Ho 2.41
18 N 0.0382 0.0764 0.0507  2 Ge 1.93

=====

No. 10
Here is a relaxed PmHo2GeN4 crystal from Alexandria. Energies are from PBE.

Unit cell a=3.5236 b=5.9622 c=11.5749 alpha=90.00 beta=90.00 gamma=107.19
With the nearest neighbours (Å) after each atom.
Fractional coordinates of all 16 atoms:
1 Pm 0.0996 0.1992 0.7500  6 N 2.67-2.72, 1 Ge 2.98
2 Pm 0.9004 0.8008 0.2500  6 N 2.67-2.72, 1 Ge 2.98
3 Ho 0.3697 0.7394 0.5433  4 N 2.27-2.47
4 Ho 0.6303 0.2606 0.0433  4 N 2.27-2.47
5 Ho 0.6303 0.2606 0.4567  4 N 2.27-2.47
6 Ho 0.3697 0.7394 0.9567  4 N 2.27-2.47
7 Ge 0.8380 0.6760 0.7500  4 N 1.88-2.01
8 Ge 0.1620 0.3240 0.2500  4 N 1.88-2.01
9 N 0.2692 0.5385 0.1261  1 Ge 1.88
10 N 0.7308 0.4615 0.6261  1 Ge 1.88
11 N 0.7308 0.4615 0.8739  1 Ge 1.88
12 N 0.2692 0.5385 0.3739  1 Ge 1.88
13 N 0.0000 0.0000 0.5000  4 Ho 2.36
14 N 0.0000 0.0000 0.0000  4 Ho 2.36
15 N 0.4235 0.8470 0.7500  2 Ge 2.01
16 N 0.5765 0.1530 0.2500  2 Ge 2.01

=====

No. 11
Here is a relaxed Ho2PuGeN5 crystal from Alexandria. Energies are from PBE.

Unit cell a=3.3093 b=7.1984 c=10.0735 alpha=90.00 beta=90.00 gamma=103.29
With the nearest neighbours (Å) after each atom.
Fractional coordinates of all 18 atoms:
1 Ho 0.8737 0.7475 0.7895  6 N 2.41-2.62
2 Ho 0.1118 0.2236 0.6978  8 N 2.46-2.71
3 Ho 0.1263 0.2525 0.2895  6 N 2.41-2.62
4 Ho 0.8882 0.7764 0.1978  8 N 2.46-2.71
5 Pu 0.7860 0.5720 0.5037  6 N 2.18-2.35
6 Pu 0.2140 0.4280 0.0037  6 N 2.18-2.35
7 Ge 0.5069 0.0137 0.9720  4 N 1.87-1.94
8 Ge 0.4931 0.9863 0.4720  4 N 1.87-1.94
9 N 0.3739 0.7477 0.0116  1 Ge 1.91
10 N 0.6994 0.3987 0.8635  2 Pu 2.18
11 N 0.4984 0.9967 0.7870  1 Ge 1.87
12 N 0.2877 0.5754 0.6472  2 Pu 2.20
13 N 0.9498 0.8996 0.5516  2 Ge 1.94
14 N 0.6261 0.2523 0.5116  1 Ge 1.91
15 N 0.3006 0.6013 0.3635  2 Pu 2.18
16 N 0.5016 0.0033 0.2870  1 Ge 1.87
17 N 0.7123 0.4246 0.1472  2 Pu 2.20
18 N 0.0502 0.1004 0.0516  2 Ge 1.94

=====

No. 12
Here is a relaxed Ho8Ge3Se4N crystal from Alexandria. Energies are from PBE.

Unit cell a=8.0149 b=8.1251 c=8.0172 alpha=119.58 beta=119.99 gamma=90.00
With the nearest neighbours (Å) after each atom.
Fractional coordinates of all 16 atoms:
1 Ho 0.2280 0.7188 0.9907  1 N 2.60, 2 Ge 2.81
2 Ho 0.2351 0.7259 0.4703  1 N 2.68, 2 Ge 2.80, 2 Se 2.91
3 Ho 0.2531 0.2589 0.5061  3 Ge 2.82, 3 Se 2.89
4 Ho 0.7627 0.7188 0.9907  1 N 2.60, 2 Ge 2.81
5 Ho 0.2373 0.2812 0.0093  1 N 2.60, 2 Ge 2.81
6 Ho 0.7469 0.7411 0.4939  3 Ge 2.82, 3 Se 2.89
7 Ho 0.7649 0.2741 0.5297  1 N 2.68, 2 Ge 2.80, 2 Se 2.91
8 Ho 0.7720 0.2812 0.0093  1 N 2.60, 2 Ge 2.81
9 Ge 0.5000 0.5000 0.0000  6 Ho 2.81-2.82
10 Ge 0.5000 0.5000 0.5000  6 Ho 2.80-2.82
11 Ge 0.0000 0.5000 0.5000  6 Ho 2.80-2.82
12 Se 0.5000 0.0000 0.0000  6 Ho 3.03-3.11
13 Se 0.5000 0.0000 0.5000  6 Ho 2.89-2.92
14 Se 0.0000 0.0000 0.0000  6 Ho 2.89-2.92
15 Se 0.0000 0.0000 0.5000  6 Ho 2.89-2.92
16 N 0.0000 0.5000 0.0000  6 Ho 2.60-2.68

=====

Let's list formation energy from raw total energies in order: 0.0070; -0.8919; -1.1769; -0.9916; -0.9837; -0.7961; -1.0147; -0.4850; -1.0466; -1.0934; -0.9880; -1.4062 eV per atom.
Let's list calculated volume in order: 974.88; 151.50; 75.63; 158.39; 104.49; 96.47; 1746.99; 65.60; 241.30; 232.31; 233.54; 371.57 Å³ per cell.
Let's list total magnetization in order: 0.345; 0.000; 0.000; 0.000; 0.000; 0.000; 0.000; 0.000; 0.098; 0.000; 0.333; 0.000 μB/atom.